Below is a relaxed PuMnFeGe2 crystal, with properties calculated at the PBE-GGA level.

## Properties
The total DFT energy (no corrections) is -8.520 eV per atom. The space group is I-4m2 (119). The calculation puts the formation energy at -1.40 eV per formula unit.

The structure in POSCAR format:
```
PuMnFeGe2
1.0
3.9868 0.0000 0.0000
0.0000 3.9868 0.0000
-1.9934 -1.9934 5.2769
Pu Mn Fe Ge
1 1 1 2
Cartesian
0.0000 0.0000 0.0000
0.0000 1.9934 2.6384
1.9934 0.0000 2.6384
1.9934 1.9934 1.2974
0.0000 0.0000 3.9795
```